1.
# KInTc3

A geometry-optimized KInTc3 structure (PBEsol, Alexandria).

```
KInTc3
1.0
5.0983 0.0000 0.0000
0.0000 5.0983 0.0000
0.0000 0.0000 5.0983
K Tc In
1 3 1
direct
0.5000 0.5000 0.5000 K
0.0000 0.5000 0.0000 Tc
0.0000 0.0000 0.5000 Tc
0.5000 0.0000 0.0000 Tc
0.0000 0.0000 0.0000 In
```

Values from the calculation:
Symmetry: Pm-3m, No. 221
Density (g/cm³): 5.61


2.
# KInTc2

A geometry-optimized KInTc2 structure (PBEsol, Alexandria).

```
KInTc2
1.0
-1.8222 -1.6816 -0.8071
-0.3010 -2.1871 5.2364
-3.3790 4.3430 -1.4196
In K Tc
1 1 2
direct
0.5000 0.0000 0.0000 In
0.5000 0.5000 0.5000 K
0.0000 0.5000 0.0000 Tc
0.0000 0.0000 0.5000 Tc
```

Values from the calculation:
Symmetry: Cmmm, No. 65
Density (g/cm³): 7.93


3.
# K2InTc

A geometry-optimized K2InTc structure (PBEsol, Alexandria).

```
K2InTc
1.0
-2.5752 0.6604 1.0880
-0.9004 -0.4109 -2.6966
-1.9103 -11.3499 2.3671
In K Tc
1 2 1
direct
0.5000 0.5000 0.0000 In
0.0000 0.0000 0.2676 K
0.0000 0.0000 0.7324 K
0.5000 0.5000 0.5000 Tc
```

Values from the calculation:
Symmetry: Cmmm, No. 65
Density (g/cm³): 5.01


Number 1: formation energy from the elements 2445 meV/atom. Number 2: formation energy from the elements 1239 meV/atom. Number 3: formation energy from the elements 968 meV/atom.